# Nd4Sm5Y | Alexandria | GGA-PBE | relaxed
# Total moment, μB/f.u.: 0.00
# Polymorph energy (0 for the lowest one), meV per atom: 169
# Energy relative to the elements, eV/atom: 0.1811
data_Nd4Sm5Y
_cell_length_a 10.8370
_cell_length_b 10.8370
_cell_length_c 5.8399
_cell_angle_alpha 90.00
_cell_angle_beta 90.00
_cell_angle_gamma 90.00
_space_group_name_H-M_alt 'P 4/n m m'
_space_group_IT_number 129
loop_
_space_group_symop_operation_xyz
'x,y,z'
'-x,-y,-z'
'-y+1/2,x,z'
'y+1/2,-x,-z'
'-x+1/2,-y+1/2,z'
'x+1/2,y+1/2,-z'
'y,-x+1/2,z'
'-y,x+1/2,-z'
'x+1/2,-y,-z'
'-x+1/2,y,z'
'-y,-x,-z'
'y,x,z'
'-x,y+1/2,-z'
'x,-y+1/2,z'
'y+1/2,x+1/2,-z'
'-y+1/2,-x+1/2,z'
loop_
_atom_site_label
_atom_site_fract_x
_atom_site_fract_y
_atom_site_fract_z
Nd1 0.0452 0.7500 0.1325
Sm1 0.0880 0.0880 0.3341
Sm2 0.2500 0.7500 0.5000
Y1 0.2500 0.2500 0.8614

***

# Nd8SmY3 | Alexandria | GGA-PBE | relaxed
# Total moment, μB/f.u.: 0.00
# Energy relative to the elements, eV/atom: 0.3237
data_Nd8SmY3
_cell_length_a 6.6552
_cell_length_b 11.3633
_cell_length_c 11.7267
_cell_angle_alpha 90.00
_cell_angle_beta 90.00
_cell_angle_gamma 90.00
_space_group_name_H-M_alt 'I 2 2 2'
_space_group_IT_number 23
_space_group_name_Hall 'I 2 2'
loop_
_atom_site_label
_atom_site_fract_x
_atom_site_fract_y
_atom_site_fract_z
Nd1 0.0005 0.1632 0.2497
Nd2 0.2485 0.2523 0.4852
Sm1 0.0000 0.0000 0.5000
Y1 0.0000 0.0000 0.0000
Y2 0.0000 0.5000 0.2541

***

# Nd2SmY5 | Alexandria | GGA-PBE | relaxed
# Total moment, μB/f.u.: 0.00
# Polymorph energy (0 for the lowest one), meV per atom: 132
# Energy relative to the elements, eV/atom: 0.1502
data_Nd2SmY5
_cell_length_a 16.3652
_cell_length_b 9.9914
_cell_length_c 6.6012
_cell_angle_alpha 90.00
_cell_angle_beta 98.66
_cell_angle_gamma 90.00
_space_group_name_H-M_alt 'C 1 2/c 1'
_space_group_IT_number 15
_space_group_name_Hall '-C 2yc'
loop_
_atom_site_label
_atom_site_fract_x
_atom_site_fract_y
_atom_site_fract_z
Nd1 0.0792 0.2460 0.1197
Sm1 0.2500 0.2500 0.0000
Y1 0.0000 0.4400 0.7500
Y2 0.0991 0.0888 0.6460
Y3 0.1980 0.4116 0.5260

***

# Nd7SmY2 | Alexandria | GGA-PBE | relaxed
# Total moment, μB/f.u.: 0.00
# Polymorph energy (0 for the lowest one), meV per atom: 0
# Energy relative to the elements, eV/atom: 0.0132
data_Nd7SmY2
_cell_length_a 6.3209
_cell_length_b 6.3336
_cell_length_c 9.6728
_cell_angle_alpha 102.61
_cell_angle_beta 108.97
_cell_angle_gamma 99.68
_space_group_name_H-M_alt 'P -1'
_space_group_IT_number 2
_space_group_name_Hall '-P 1'
loop_
_atom_site_label
_atom_site_fract_x
_atom_site_fract_y
_atom_site_fract_z
Nd1 0.0000 0.0000 0.0000
Nd2 0.1998 0.1007 0.7010
Nd3 0.1996 0.5982 0.1994
Nd4 0.4013 0.1999 0.3993
Sm1 0.0000 0.5000 0.5000
Y1 0.4008 0.7007 0.9013

***

# NdSmY | Alexandria | GGA-PBE | relaxed
# Total moment, μB/f.u.: 0.00
# Polymorph energy (0 for the lowest one), meV per atom: 47
# Energy relative to the elements, eV/atom: 0.0623
data_NdSmY
_cell_length_a 12.1918
_cell_length_b 5.7544
_cell_length_c 7.0454
_cell_angle_alpha 90.00
_cell_angle_beta 125.27
_cell_angle_gamma 90.00
_space_group_name_H-M_alt 'C 1 2/m 1'
_space_group_IT_number 12
_space_group_name_Hall '-C 2y'
loop_
_atom_site_label
_atom_site_fract_x
_atom_site_fract_y
_atom_site_fract_z
Nd1 0.9997 0.0000 0.2463
Sm1 0.1647 0.5000 0.6648
Y1 0.1675 0.5000 0.1678

***

# Nd4Sm2Y3 | Alexandria | GGA-PBE | relaxed
# Total moment, μB/f.u.: 0.00
# Polymorph energy (0 for the lowest one), meV per atom: 40
# Energy relative to the elements, eV/atom: 0.0822
data_Nd4Sm2Y3
_cell_length_a 16.5147
_cell_length_b 11.8529
_cell_length_c 6.2568
_cell_angle_alpha 90.00
_cell_angle_beta 96.26
_cell_angle_gamma 90.00
_space_group_name_H-M_alt 'C 1 2/c 1'
_space_group_IT_number 15
_space_group_name_Hall '-C 2yc'
loop_
_atom_site_label
_atom_site_fract_x
_atom_site_fract_y
_atom_site_fract_z
Nd1 0.0482 0.1404 0.0148
Nd2 0.2141 0.3593 0.8484
Sm1 0.1179 0.3612 0.3180
Y1 0.0000 0.3989 0.7500
Y2 0.1672 0.1017 0.5802